(1)
A relaxed structure of CoTe2I. Source: Alexandria, functional PBE-GGA.

Unit cell a=10.2907 b=3.7070 c=13.6259 alpha=90.00 beta=90.00 gamma=90.00
Closest atoms and distances in Å follow each position.
Atoms (fractional coordinates):
I 0.1083 0.2500 0.6185  1 Te 2.91
I 0.3917 0.7500 0.1185  1 Te 2.91
I 0.8917 0.7500 0.3815  1 Te 2.91
I 0.6083 0.2500 0.8815  1 Te 2.91
Te 0.6538 0.2500 0.5716  3 Co 2.45-2.55
Te 0.8462 0.7500 0.0716  3 Co 2.45-2.55
Te 0.3462 0.7500 0.4284  3 Co 2.45-2.55
Te 0.1538 0.2500 0.9284  3 Co 2.45-2.55
Te 0.3817 0.2500 0.6733  2 Co 2.52
Te 0.1183 0.7500 0.1733  2 Co 2.52
Te 0.6183 0.7500 0.3267  2 Co 2.52
Te 0.8817 0.2500 0.8267  2 Co 2.52
Co 0.5165 0.2500 0.4252  5 Te 2.45-2.55
Co 0.9835 0.7500 0.9252  5 Te 2.45-2.55
Co 0.4835 0.7500 0.5748  5 Te 2.45-2.55
Co 0.0165 0.2500 0.0748  5 Te 2.45-2.55

Values from the calculation:
- Energy relative to the lowest polymorph listed for this composition: 82.1 meV per atom
- Symmetry: Pnma, No. 62


(2)
A relaxed structure of CoTeI. Source: Alexandria, functional PBE-GGA.

Unit cell a=5.0685 b=9.8635 c=7.6162 alpha=112.72 beta=90.00 gamma=90.00
Closest atoms and distances in Å follow each position.
Atoms (fractional coordinates):
I 0.7500 0.3240 0.5371  2 Co 2.61
I 0.2500 0.6760 0.9629  2 Co 2.61
I 0.2500 0.6760 0.4629  2 Co 2.61
I 0.7500 0.3240 0.0371  2 Co 2.61
Te 0.7500 0.9440 0.8470  4 Co 2.54-2.62
Te 0.7500 0.9440 0.3470  4 Co 2.54-2.62
Te 0.2500 0.0560 0.1530  4 Co 2.54-2.62
Te 0.2500 0.0560 0.6530  4 Co 2.54-2.62
Co 0.2500 0.8715 0.8107  4 Te 2.54-2.62, 2 I 2.61
Co 0.2500 0.8715 0.3107  4 Te 2.54-2.62, 2 I 2.61
Co 0.7500 0.1285 0.1893  4 Te 2.54-2.62, 2 I 2.61
Co 0.7500 0.1285 0.6893  4 Te 2.54-2.62, 2 I 2.61

Values from the calculation:
- Symmetry: Pmmn, No. 59


(3)
A relaxed structure of CoTe2I. Source: Alexandria, functional PBE-GGA.

Unit cell a=13.5196 b=13.5196 c=13.5196 alpha=13.99 beta=13.99 gamma=13.99
Closest atoms and distances in Å follow each position.
Atoms (fractional coordinates):
I 0.5000 0.5000 0.5000  6 I 3.29
Te 0.0608 0.0608 0.0608  1 Co 2.44
Te 0.9392 0.9392 0.9392  1 Co 2.44
Co 0.0000 0.0000 0.0000  2 Te 2.44

Values from the calculation:
- Energy relative to the lowest polymorph listed for this composition: 638.5 meV per atom
- Symmetry: R-3m, No. 166


(4)
A relaxed structure of CoTe2I. Source: Alexandria, functional PBE-GGA.

Unit cell a=7.0716 b=7.0716 c=7.1205 alpha=60.23 beta=60.23 gamma=90.00
Closest atoms and distances in Å follow each position.
Atoms (fractional coordinates):
I 0.0000 0.0000 0.0000  4 Te 3.33
I 0.7500 0.2500 0.5000  4 Te 3.33
Te 0.5177 0.1250 0.2500  2 Co 2.40
Te 0.2323 0.6250 0.2500  2 Co 2.40
Te 0.3750 0.4823 0.7500  2 Co 2.40
Te 0.8750 0.7677 0.7500  2 Co 2.40
Co 0.5000 0.5000 0.0000  4 Te 2.40
Co 0.2500 0.7500 0.5000  4 Te 2.40

Values from the calculation:
- Energy relative to the lowest polymorph listed for this composition: 277.1 meV per atom
- Symmetry: I-42d, No. 122


(5)
A relaxed structure of CoTe3I. Source: Alexandria, functional PBE-GGA.

Unit cell a=7.0633 b=7.5974 c=10.6591 alpha=90.00 beta=90.00 gamma=90.00
Closest atoms and distances in Å follow each position.
Atoms (fractional coordinates):
Co 0.0000 0.5000 0.0000  4 Te 2.65, 2 I 2.78
Co 0.5000 0.0000 0.5000  4 Te 2.65, 2 I 2.78
Co 0.5000 0.0000 0.0000  4 Te 2.65, 2 I 2.78
Co 0.0000 0.5000 0.5000  4 Te 2.65, 2 I 2.78
Te 0.7500 0.2499 0.9488  2 Co 2.65
Te 0.7500 0.7499 0.4488  2 Co 2.65
Te 0.7500 0.7499 0.0512  2 Co 2.65
Te 0.2500 0.7501 0.4488  2 Co 2.65
Te 0.2500 0.7501 0.0512  2 Co 2.65
Te 0.2500 0.2501 0.5512  2 Co 2.65
Te 0.2500 0.2501 0.9488  2 Co 2.65
Te 0.7500 0.2499 0.5512  2 Co 2.65
Te 0.0000 0.0988 0.7500  4 Te 2.99
Te 0.5000 0.5988 0.2500  4 Te 2.99
Te 0.0000 0.9012 0.2500  4 Te 2.99
Te 0.5000 0.4012 0.7500  4 Te 2.99
I 0.0009 0.6021 0.7500  2 Co 2.78
I 0.4991 0.1021 0.2500  2 Co 2.78
I 0.9991 0.3979 0.2500  2 Co 2.78
I 0.5009 0.8979 0.7500  2 Co 2.78

Values from the calculation:
- Energy relative to the lowest polymorph listed for this composition: 0.0 meV per atom
- Symmetry: Pnma, No. 62


(6)
A relaxed structure of CoTe2I. Source: Alexandria, functional PBE-GGA.

Unit cell a=3.9834 b=10.0244 c=6.7388 alpha=90.00 beta=90.00 gamma=94.42
Closest atoms and distances in Å follow each position.
Atoms (fractional coordinates):
Co 0.7667 0.5858 0.7500  6 Te 2.62-2.68, 1 I 2.69
Co 0.2333 0.4142 0.2500  6 Te 2.62-2.68, 1 I 2.69
Te 0.2734 0.6205 0.5031  3 Co 2.62-2.68
Te 0.7266 0.3795 0.4969  3 Co 2.62-2.68
Te 0.2734 0.6205 0.9969  3 Co 2.62-2.68
Te 0.7266 0.3795 0.0031  3 Co 2.62-2.68
I 0.1826 0.1448 0.2500  1 Co 2.69
I 0.8174 0.8552 0.7500  1 Co 2.69

Values from the calculation:
- Energy relative to the lowest polymorph listed for this composition: 84.2 meV per atom
- Symmetry: P2_1/m, No. 11


(7)
A relaxed structure of CoTe2I. Source: Alexandria, functional PBE-GGA.

Unit cell a=3.9382 b=3.9382 c=8.1791 alpha=90.00 beta=90.00 gamma=120.00
Closest atoms and distances in Å follow each position.
Atoms (fractional coordinates):
I 0.3333 0.6667 0.4835  1 Te 2.97
Te 0.3333 0.6667 0.8465  3 Co 2.53
Te 0.6667 0.3333 0.1441  3 Co 2.64
Co 0.0000 0.0000 0.9808  6 Te 2.53-2.64

Values from the calculation:
- Energy relative to the lowest polymorph listed for this composition: 61.6 meV per atom
- Symmetry: P3m1, No. 156


(8)
A relaxed structure of CoTe2I. Source: Alexandria, functional PBE-GGA.

Unit cell a=3.8881 b=5.6993 c=9.7560 alpha=85.26 beta=90.00 gamma=90.00
Closest atoms and distances in Å follow each position.
Atoms (fractional coordinates):
I 0.9451 0.2957 0.8186  1 Co 2.59
I 0.4451 0.8088 0.6164  1 Co 2.59
Te 0.9451 0.8435 0.2949  3 Co 2.57-2.59
Te 0.9451 0.3267 0.4630  2 Co 2.52
Te 0.4451 0.2611 0.1401  3 Co 2.57-2.59
Te 0.4451 0.7778 0.9720  2 Co 2.52
Co 0.9451 0.0215 0.0442  5 Te 2.52-2.59, 1 I 2.59
Co 0.4451 0.0830 0.3907  5 Te 2.52-2.59, 1 I 2.59

Values from the calculation:
- Energy relative to the lowest polymorph listed for this composition: 61.4 meV per atom
- Symmetry: P2_1/m, No. 11


(9)
A relaxed structure of Co2Te2I. Source: Alexandria, functional PBE-GGA.

Unit cell a=4.5125 b=4.5125 c=7.1795 alpha=71.68 beta=71.68 gamma=90.00
Closest atoms and distances in Å follow each position.
Atoms (fractional coordinates):
I 0.0000 0.0000 0.0000  8 Co 3.77, 8 Te 3.93
Te 0.7500 0.2500 0.5000  4 Co 2.56
Te 0.2500 0.7500 0.5000  4 Co 2.56
Co 0.3443 0.3443 0.3113  4 Te 2.56
Co 0.6557 0.6557 0.6887  4 Te 2.56

Values from the calculation:
- Energy relative to the lowest polymorph listed for this composition: 59.4 meV per atom
- Symmetry: I4/mmm, No. 139


(10)
A relaxed structure of CoTe3I. Source: Alexandria, functional PBE-GGA.

Unit cell a=5.1077 b=5.1077 c=5.1077 alpha=90.00 beta=90.00 gamma=90.00
Closest atoms and distances in Å follow each position.
Atoms (fractional coordinates):
I 0.5000 0.5000 0.5000  12 Te 3.61
Te 0.0000 0.5000 0.0000  2 Co 2.55
Te 0.0000 0.0000 0.5000  2 Co 2.55
Te 0.5000 0.0000 0.0000  2 Co 2.55
Co 0.0000 0.0000 0.0000  6 Te 2.55

Values from the calculation:
- Energy relative to the lowest polymorph listed for this composition: 235.5 meV per atom
- Symmetry: Pm-3m, No. 221


(11)
A relaxed structure of CoTe2I. Source: Alexandria, functional PBE-GGA.

Unit cell a=13.4487 b=13.4487 c=5.0653 alpha=90.00 beta=90.00 gamma=164.41
Closest atoms and distances in Å follow each position.
Atoms (fractional coordinates):
I 0.3281 0.6719 0.2500  4 Te 3.18
I 0.6719 0.3281 0.7500  4 Te 3.18
Te 0.1491 0.8509 0.2500  1 Co 2.44
Te 0.8509 0.1491 0.7500  1 Co 2.44
Te 0.9625 0.0375 0.2500  3 Co 2.54-2.59
Te 0.0375 0.9625 0.7500  3 Co 2.54-2.59
Co 0.0577 0.9423 0.2500  4 Te 2.44-2.59
Co 0.9423 0.0577 0.7500  4 Te 2.44-2.59

Values from the calculation:
- Energy relative to the lowest polymorph listed for this composition: 387.7 meV per atom
- Symmetry: Cmcm, No. 63


(12)
A relaxed structure of CoTe2I. Source: Alexandria, functional PBE-GGA.

Unit cell a=7.3186 b=8.3163 c=8.3163 alpha=33.30 beta=95.96 gamma=84.04
Closest atoms and distances in Å follow each position.
Atoms (fractional coordinates):
I 0.7500 0.3553 0.8553  2 Co 2.87
I 0.2500 0.6447 0.1447  2 Co 2.87
Te 0.3840 0.1085 0.2316  2 Co 2.52-2.56
Te 0.1160 0.7316 0.6085  2 Co 2.52-2.56
Te 0.6160 0.8915 0.7684  2 Co 2.52-2.56
Te 0.8840 0.2684 0.3915  2 Co 2.52-2.56
Co 0.7500 0.9555 0.4555  4 Te 2.52-2.56
Co 0.2500 0.0445 0.5445  4 Te 2.52-2.56

Values from the calculation:
- Energy relative to the lowest polymorph listed for this composition: 202.1 meV per atom
- Symmetry: C2/c, No. 15


| no. | formation energy (no corrections) (kJ/mol of formula units) | N(E_F) (states/eV per atom) |
| --- | --- | --- |
| 1 | -27 | 0.5534 |
| 2 | -42 | 0.3902 |
| 3 | 187 | 1.2830 |
| 4 | 48 | 0.0449 |
| 5 | 56 | 0.7433 |
| 6 | -27 | 0.1646 |
| 7 | -35 | 0.6554 |
| 8 | -35 | 1.1000 |
| 9 | 206 | 1.3536 |
| 10 | 169 | 1.3447 |
| 11 | 91 | 0.7471 |
| 12 | 19 | 0.0016 |